A plane-wave DFT calculation with GGA-PBE was carried out for an optimized crystal structure of Pm4Ga5Ge2.

**SG**: P2/m
**Formation energy**: -649 meV/atom

abc: 4.404 7.128 8.140
angles: 90.07 90.00 90.00
Positions (direct):
Ga1 0.000 0.500 0.000
Ga2 0.000 0.127 0.118
Ga3 0.000 0.550 0.342
Ga4 0.000 0.873 0.882
Ga5 0.000 0.450 0.658
Pm1 0.500 0.777 0.135
Pm2 0.500 0.245 0.387
Pm3 0.500 0.755 0.613
Pm4 0.500 0.223 0.865
Ge1 0.000 0.087 0.632
Ge2 0.000 0.913 0.368